Ba2Hg3Pd7O14: relaxed, PBE-GGA.

Uncorrected energy = -5.07 eV/atom
Crystal system = monoclinic
Symmetry = C2/m
ΔE_f (raw) = -0.82 eV per atom

Geometry as POSCAR:
```
Ba2Hg3Pd7O14
1.0
6.293 -0.037 0.011
3.027 5.517 0.011
0.086 0.050 11.060
O Pd Ba Hg
14 7 2 3
direct
0.360 0.360 0.515
0.991 0.991 0.686
0.305 0.880 0.103
0.961 0.518 0.684
0.687 0.687 0.904
0.482 0.039 0.316
0.313 0.313 0.096
0.880 0.305 0.103
0.640 0.640 0.485
0.695 0.120 0.897
0.009 0.009 0.314
0.120 0.695 0.897
0.518 0.961 0.684
0.039 0.482 0.316
0.000 0.500 0.500
0.500 0.000 0.000
0.000 0.000 0.000
0.500 0.000 0.500
0.170 0.170 0.221
0.000 0.500 0.000
0.830 0.830 0.779
0.489 0.489 0.294
0.511 0.511 0.706
0.178 0.178 0.802
0.000 0.000 0.500
0.822 0.822 0.198
```